Record 1
A relaxed Rb2Co2Br7 crystal, computed with GGA-PBE.

Summary:
The space-group type is P2_1/c, No. 14. The density of states at the Fermi level comes out at 8.5 states/eV/f.u. The calculation puts the uncorrected formation energy at -0.806 eV per atom. The magnetic moment is 7.0 μB per formula unit.

```
Rb2Co2Br7
1.0
6.5351 0.0000 0.0000
0.0000 16.4067 0.0000
-1.4592 0.0000 8.4981
Rb Co Br
4 4 14
Direct
0.1179 0.1545 0.4562
0.1179 0.3455 0.9562
0.8821 0.6545 0.0438
0.8821 0.8455 0.5438
0.3252 0.6027 0.6289
0.3252 0.8973 0.1289
0.6748 0.1027 0.8711
0.6748 0.3973 0.3711
0.0272 0.6452 0.4581
0.0272 0.8548 0.9581
0.2422 0.5474 0.8632
0.2422 0.9526 0.3632
0.4587 0.2153 0.7976
0.4587 0.2847 0.2976
0.5000 0.0000 0.0000
0.5000 0.5000 0.5000
0.5413 0.7153 0.7024
0.5413 0.7847 0.2024
0.7578 0.0474 0.6368
0.7578 0.4526 0.1368
0.9728 0.1452 0.0419
0.9728 0.3548 0.5419
```

Record 2
A relaxed Li2Ca7Hg2 crystal, computed with GGA-PBE.

Summary:
The space-group type is Cmmm, No. 65. The density of states at the Fermi level comes out at 8.1 states/eV/f.u. The magnetic moment is 0.0 μB per formula unit. The total energy comes out at -1.761 eV/atom.

```
Li2Ca7Hg2
1.0
4.2537 -5.9609 0.0000
4.2537 5.9609 0.0000
0.0000 0.0000 7.8807
Li Ca Hg
2 7 2
Direct
0.1618 0.1618 0.0000
0.8382 0.8382 0.0000
0.0000 0.0000 0.5000
0.0000 0.5000 0.2277
0.0000 0.5000 0.7723
0.5000 0.0000 0.2277
0.5000 0.0000 0.7723
0.5000 0.5000 0.2520
0.5000 0.5000 0.7480
0.2849 0.7151 0.5000
0.7151 0.2849 0.5000
```

Record 3
A relaxed Ba2CdTc crystal, computed with GGA-PBE.

Summary:
The calculation puts the polymorph energy (0 for the lowest one) at 0 meV/atom. The space-group type is Amm2, No. 38. The density of states at the Fermi level comes out at 4.7 states/eV/f.u. The magnetic moment is 1.6 μB per formula unit.

```
Ba2CdTc
1.0
4.9000 0.0000 0.0000
0.0000 2.4197 6.1250
0.0000 -2.4197 6.1250
Ba Cd Tc
2 1 1
Direct
0.0000 0.0000 0.0000
0.5000 0.2852 0.2852
0.5000 0.5852 0.5852
0.0000 0.6903 0.6903
```

- What is the formula in the third record?
  Ba2CdTc

- Which formula does entry 2 have?
  Li2Ca7Hg2

Please write out number 3 again, unchanged.
A relaxed Ba2CdTc crystal, computed with GGA-PBE.

Summary:
The calculation puts the polymorph energy (0 for the lowest one) at 0 meV/atom. The space-group type is Amm2, No. 38. The density of states at the Fermi level comes out at 4.7 states/eV/f.u. The magnetic moment is 1.6 μB per formula unit.

```
Ba2CdTc
1.0
4.9000 0.0000 0.0000
0.0000 2.4197 6.1250
0.0000 -2.4197 6.1250
Ba Cd Tc
2 1 1
Direct
0.0000 0.0000 0.0000
0.5000 0.2852 0.2852
0.5000 0.5852 0.5852
0.0000 0.6903 0.6903
```